Entry 1:
# Rb2SrTc PBE-GGA relaxed
# - Offset from the most stable computed form: 0.000 eV per atom
# - Energy relative to the elements: 1226 meV/atom
# - Crystal system: tetragonal
data_Rb2SrTc
_cell_length_a 5.033
_cell_length_b 5.033
_cell_length_c 27.917
_cell_angle_alpha 90.00
_cell_angle_beta 90.00
_cell_angle_gamma 90.00
_symmetry_space_group_name_H-M 'I -4 2 d'
_symmetry_Int_Tables_number 122
_symmetry_space_group_name_Hall 'I -4 2bw'
loop_
_atom_site_label
_atom_site_type_symbol
_atom_site_fract_x
_atom_site_fract_y
_atom_site_fract_z
Rb1 Rb 0.231 0.250 0.125
Sr1 Sr 0.000 0.000 0.500
Tc1 Tc 0.000 0.000 0.000

---

Entry 2:
# AlRe3W PBE-GGA relaxed
# - Offset from the most stable computed form: 0.000 eV per atom
# - Energy relative to the elements: 1667 meV/atom
# - Crystal system: cubic
data_AlRe3W
_cell_length_a 4.380
_cell_length_b 4.380
_cell_length_c 4.380
_cell_angle_alpha 90.00
_cell_angle_beta 90.00
_cell_angle_gamma 90.00
_symmetry_space_group_name_H-M 'P m -3 m'
_symmetry_Int_Tables_number 221
_symmetry_space_group_name_Hall '-P 4 2 3'
loop_
_atom_site_label
_atom_site_type_symbol
_atom_site_fract_x
_atom_site_fract_y
_atom_site_fract_z
Al1 Al 0.000 0.000 0.000
Re1 Re 0.000 0.000 0.500
W1 W 0.500 0.500 0.500

---

Entry 3:
# SbTe5Au4 PBE-GGA relaxed
# - E_form (uncorrected): 0.01 eV per atom
# - Crystal system: orthorhombic
data_SbTe5Au4
_cell_length_a 8.723
_cell_length_b 9.169
_cell_length_c 7.345
_cell_angle_alpha 90.00
_cell_angle_beta 90.00
_cell_angle_gamma 90.00
_symmetry_space_group_name_H-M 'P m m n'
_symmetry_Int_Tables_number 59
loop_
_symmetry_equiv_pos_as_xyz
'x,y,z'
'-x,-y,-z'
'-x+1/2,-y+1/2,z'
'x+1/2,y+1/2,-z'
'x+1/2,-y,-z'
'-x+1/2,y,z'
'-x,y+1/2,-z'
'x,-y+1/2,z'
loop_
_atom_site_label
_atom_site_type_symbol
_atom_site_fract_x
_atom_site_fract_y
_atom_site_fract_z
Sb1 Sb 0.250 0.250 0.196
Te1 Te 0.007 0.594 0.238
Te2 Te 0.250 0.750 0.774
Au1 Au 0.014 0.250 0.426
Au2 Au 0.250 0.002 0.986

---

Entry 4:
# CaAu3F PBE-GGA relaxed
# - Offset from the most stable computed form: 0.000 eV per atom
# - E_form (uncorrected): -0.15 eV per atom
# - Crystal system: cubic
data_CaAu3F
_cell_length_a 4.756
_cell_length_b 4.756
_cell_length_c 4.756
_cell_angle_alpha 90.00
_cell_angle_beta 90.00
_cell_angle_gamma 90.00
_symmetry_space_group_name_H-M 'P m -3 m'
_symmetry_Int_Tables_number 221
_symmetry_space_group_name_Hall '-P 4 2 3'
loop_
_atom_site_label
_atom_site_type_symbol
_atom_site_fract_x
_atom_site_fract_y
_atom_site_fract_z
Ca1 Ca 0.000 0.000 0.000
Au1 Au 0.000 0.500 0.500
F1 F 0.500 0.500 0.500

---

Entry 5:
# La4Ho3ScTe8 PBE-GGA relaxed
# - E_form (uncorrected): -1.40 eV per atom
# - Crystal system: trigonal
data_La4Ho3ScTe8
_cell_length_a 8.7980
_cell_length_b 8.7980
_cell_length_c 22.1405
_cell_angle_alpha 90.00
_cell_angle_beta 90.00
_cell_angle_gamma 120.00
_symmetry_space_group_name_H-M 'R -3 m'
_symmetry_Int_Tables_number 166
_symmetry_space_group_name_Hall '-R 3 2"'
loop_
_atom_site_label
_atom_site_type_symbol
_atom_site_fract_x
_atom_site_fract_y
_atom_site_fract_z
La1 La 0.0000 0.0000 0.0000
La2 La 0.0000 0.5000 0.0000
Ho1 Ho 0.0000 0.5000 0.5000
Sc1 Sc 0.0000 0.0000 0.5000
Te1 Te 0.0000 0.0000 0.2438
Te2 Te 0.0064 0.5032 0.2423

---

Entry 6:
# PuUAgIr PBE-GGA relaxed
# - Energy relative to the elements: -203 meV/atom
# - Crystal system: cubic
data_PuUAgIr
_cell_length_a 6.730
_cell_length_b 6.730
_cell_length_c 6.730
_cell_angle_alpha 90.00
_cell_angle_beta 90.00
_cell_angle_gamma 90.00
_symmetry_space_group_name_H-M 'F -4 3 m'
_symmetry_Int_Tables_number 216
_symmetry_space_group_name_Hall 'F -4 2 3'
loop_
_atom_site_label
_atom_site_type_symbol
_atom_site_fract_x
_atom_site_fract_y
_atom_site_fract_z
Pu1 Pu 0.000 0.000 0.000
U1 U 0.250 0.250 0.250
Ag1 Ag 0.250 0.250 0.750
Ir1 Ir 0.000 0.000 0.500

---

no.,magnetization (Bohr magnetons per cell)
1,12.4
2,0.0
3,0.0
4,0.0
5,0.0
6,24.5